1.
VASP calculation (PBE-GGA) on a relaxed Ge2Ir2Pd crystal.

```
data_Ge2Ir2Pd
_cell_length_a 3.833
_cell_length_b 3.833
_cell_length_c 6.292
_cell_angle_alpha 72.27
_cell_angle_beta 72.27
_cell_angle_gamma 90.00
_symmetry_space_group_name_H-M 'P 1'
_symmetry_Int_Tables_number 1
_symmetry_space_group_name_Hall 'P 1'
loop_
_atom_site_label
_atom_site_fract_x
_atom_site_fract_y
_atom_site_fract_z
Ge1 0.750 0.250 0.500
Ge2 0.250 0.750 0.500
Ir1 0.386 0.386 0.227
Ir2 0.614 0.614 0.773
Pd1 0.000 0.000 0.000
```

Computed properties:
* energy relative to the elements: -0.015 eV/atom
* ΔE to the lowest computed polymorph: 182 meV per atom


2.
VASP calculation (PBE-GGA) on a relaxed Si2OsCl crystal.

```
data_Si2OsCl
_cell_length_a 3.097
_cell_length_b 3.097
_cell_length_c 7.501
_cell_angle_alpha 90.00
_cell_angle_beta 90.00
_cell_angle_gamma 90.00
_symmetry_space_group_name_H-M 'P 1'
_symmetry_Int_Tables_number 1
_symmetry_space_group_name_Hall 'P 1'
loop_
_atom_site_label
_atom_site_fract_x
_atom_site_fract_y
_atom_site_fract_z
Cl1 0.000 0.000 0.567
Os1 0.500 0.500 0.817
Si1 0.000 0.000 0.964
Si2 0.500 0.500 0.153
```

Computed properties:
* formation energy (no corrections): 0.301 eV per atom
* ΔE to the lowest computed polymorph: 389 meV per atom


3.
VASP calculation (PBE-GGA) on a relaxed Ca2La2Pm crystal.

```
data_Ca2La2Pm
_cell_length_a 9.588
_cell_length_b 9.588
_cell_length_c 4.150
_cell_angle_alpha 90.00
_cell_angle_beta 90.00
_cell_angle_gamma 90.00
_symmetry_space_group_name_H-M 'P 1'
_symmetry_Int_Tables_number 1
_symmetry_space_group_name_Hall 'P 1'
loop_
_atom_site_label
_atom_site_fract_x
_atom_site_fract_y
_atom_site_fract_z
Ca1 0.325 0.825 0.500
Ca2 0.825 0.675 0.500
Ca3 0.675 0.175 0.500
Ca4 0.175 0.325 0.500
La1 0.125 0.625 0.000
La2 0.625 0.875 0.000
La3 0.875 0.375 0.000
La4 0.375 0.125 0.000
Pm1 0.000 0.000 0.000
Pm2 0.500 0.500 0.000
```

Computed properties:
* energy relative to the elements: 0.210 eV/atom
* ΔE to the lowest computed polymorph: 181 meV per atom


4.
VASP calculation (PBE-GGA) on a relaxed AcTiBr crystal.

```
data_AcTiBr
_cell_length_a 3.900
_cell_length_b 4.829
_cell_length_c 9.506
_cell_angle_alpha 90.00
_cell_angle_beta 78.20
_cell_angle_gamma 90.00
_symmetry_space_group_name_H-M 'P 1'
_symmetry_Int_Tables_number 1
_symmetry_space_group_name_Hall 'P 1'
loop_
_atom_site_label
_atom_site_fract_x
_atom_site_fract_y
_atom_site_fract_z
Ti1 0.975 0.750 0.550
Ti2 0.025 0.250 0.450
Ac1 0.620 0.750 0.259
Ac2 0.380 0.250 0.741
Br1 0.813 0.750 0.875
Br2 0.187 0.250 0.125
```

Computed properties:
* formation energy (no corrections): -0.554 eV per atom


5.
VASP calculation (PBE-GGA) on a relaxed Rb2NaNiBr6 crystal.

```
data_Rb2NaNiBr6
_cell_length_a 7.638
_cell_length_b 7.638
_cell_length_c 7.644
_cell_angle_alpha 59.97
_cell_angle_beta 59.97
_cell_angle_gamma 89.99
_symmetry_space_group_name_H-M 'P 1'
_symmetry_Int_Tables_number 1
_symmetry_space_group_name_Hall 'P 1'
loop_
_atom_site_label
_atom_site_fract_x
_atom_site_fract_y
_atom_site_fract_z
Rb1 0.750 0.250 0.500
Rb2 0.250 0.750 0.500
Na1 0.000 0.000 0.000
Ni1 0.500 0.500 0.000
Br1 0.270 0.270 0.460
Br2 0.730 0.730 0.000
Br3 0.270 0.730 0.000
Br4 0.730 0.270 0.000
Br5 0.270 0.270 0.000
Br6 0.730 0.730 0.540
```

Computed properties:
* formation energy (no corrections): -1.075 eV per atom


6.
VASP calculation (PBE-GGA) on a relaxed HfReSi2 crystal.

```
data_HfReSi2
_cell_length_a 4.422
_cell_length_b 4.422
_cell_length_c 4.422
_cell_angle_alpha 60.00
_cell_angle_beta 60.00
_cell_angle_gamma 60.00
_symmetry_space_group_name_H-M 'P 1'
_symmetry_Int_Tables_number 1
_symmetry_space_group_name_Hall 'P 1'
loop_
_atom_site_label
_atom_site_fract_x
_atom_site_fract_y
_atom_site_fract_z
Re1 0.500 0.500 0.500
Si1 0.250 0.250 0.250
Si2 0.750 0.750 0.750
Hf1 0.000 0.000 0.000
```

Computed properties:
* formation energy (no corrections): -0.209 eV per atom


7.
VASP calculation (PBE-GGA) on a relaxed V5Ni2H12 crystal.

```
data_V5Ni2H12
_cell_length_a 4.968
_cell_length_b 5.371
_cell_length_c 5.540
_cell_angle_alpha 102.42
_cell_angle_beta 90.00
_cell_angle_gamma 117.54
_symmetry_space_group_name_H-M 'P 1'
_symmetry_Int_Tables_number 1
_symmetry_space_group_name_Hall 'P 1'
loop_
_atom_site_label
_atom_site_fract_x
_atom_site_fract_y
_atom_site_fract_z
V1 0.301 0.601 0.629
V2 0.285 0.570 0.173
V3 0.000 0.000 0.500
V4 0.715 0.430 0.827
V5 0.699 0.399 0.371
Ni1 0.754 0.000 0.000
Ni2 0.246 0.000 0.000
H1 0.940 0.880 0.145
H2 0.114 0.636 0.905
H3 0.522 0.636 0.905
H4 0.098 0.697 0.422
H5 0.600 0.697 0.422
H6 0.505 0.010 0.786
H7 0.495 0.990 0.214
H8 0.902 0.303 0.578
H9 0.400 0.303 0.578
H10 0.886 0.364 0.095
H11 0.478 0.364 0.095
H12 0.060 0.120 0.855
```

Computed properties:
* energy: -5.188 eV/atom